No. 1
A relaxed HoGa6 crystal. Source: the Alexandria database, functional GGA-PBE.

Its formation energy from the elements is 0.18 eV per atom. As for the size of the total moment: 0.00 μB per formula unit. Its space group is Im-3m (229).

Unit cell a=6.034 b=6.034 c=6.034 alpha=109.47 beta=109.47 gamma=109.47
Sites, in units of the cell vectors:
Ga 0.500 0.250 0.750
Ga 0.250 0.500 0.750
Ga 0.500 0.750 0.250
Ga 0.250 0.750 0.500
Ga 0.750 0.500 0.250
Ga 0.750 0.250 0.500
Ho 0.000 0.000 0.000

No. 2
A relaxed Sr5Re3IO15 crystal. Source: the Alexandria database, functional GGA-PBE.

The raw total energy is -704.354 eV/cell. As for the size of the total moment: 0.00 μB per formula unit. Its space group is Pnma (62).

Unit cell a=7.642 b=10.826 c=18.963 alpha=90.00 beta=90.00 gamma=90.00
Sites, in units of the cell vectors:
O 0.364 0.590 0.880
O 0.570 0.802 0.948
O 0.017 0.486 0.602
O 0.609 0.427 0.817
O 0.636 0.410 0.120
O 0.430 0.198 0.052
O 0.742 0.608 0.030
O 0.766 0.221 0.818
O 0.609 0.427 0.683
O 0.790 0.902 0.032
O 0.234 0.779 0.318
O 0.983 0.514 0.102
O 0.930 0.302 0.052
O 0.070 0.698 0.948
O 0.448 0.080 0.750
O 0.364 0.590 0.620
O 0.266 0.279 0.682
O 0.864 0.910 0.880
O 0.210 0.098 0.532
O 0.430 0.198 0.448
O 0.790 0.902 0.468
O 0.258 0.392 0.530
O 0.109 0.073 0.817
O 0.483 0.986 0.398
O 0.517 0.014 0.898
O 0.734 0.721 0.318
O 0.734 0.721 0.182
O 0.017 0.486 0.898
O 0.570 0.802 0.552
O 0.391 0.573 0.183
O 0.052 0.580 0.250
O 0.864 0.910 0.620
O 0.766 0.221 0.682
O 0.710 0.402 0.532
O 0.758 0.108 0.530
O 0.070 0.698 0.552
O 0.290 0.598 0.468
O 0.948 0.420 0.750
O 0.242 0.892 0.030
O 0.930 0.302 0.448
O 0.483 0.986 0.102
O 0.290 0.598 0.032
O 0.136 0.090 0.380
O 0.391 0.573 0.317
O 0.552 0.920 0.250
O 0.758 0.108 0.970
O 0.258 0.392 0.970
O 0.517 0.014 0.602
O 0.983 0.514 0.398
O 0.891 0.927 0.317
O 0.136 0.090 0.120
O 0.210 0.098 0.968
O 0.242 0.892 0.470
O 0.234 0.779 0.182
O 0.266 0.279 0.818
O 0.742 0.608 0.470
O 0.710 0.402 0.968
O 0.891 0.927 0.183
O 0.109 0.073 0.683
O 0.636 0.410 0.380
Re 0.204 0.555 0.944
Re 0.704 0.945 0.944
Re 0.796 0.445 0.056
Re 0.255 0.654 0.250
Re 0.204 0.555 0.556
Re 0.745 0.346 0.750
Re 0.296 0.055 0.056
Re 0.755 0.846 0.250
Re 0.704 0.945 0.556
Re 0.245 0.154 0.750
Re 0.296 0.055 0.444
Re 0.796 0.445 0.444
I 0.546 0.770 0.750
I 0.046 0.730 0.750
I 0.454 0.230 0.250
I 0.954 0.270 0.250
Sr 0.681 0.519 0.250
Sr 0.002 0.253 0.917
Sr 0.232 0.892 0.895
Sr 0.498 0.753 0.083
Sr 0.732 0.608 0.605
Sr 0.502 0.247 0.917
Sr 0.819 0.019 0.750
Sr 0.319 0.481 0.750
Sr 0.998 0.747 0.083
Sr 0.732 0.608 0.895
Sr 0.268 0.392 0.395
Sr 0.768 0.108 0.395
Sr 0.502 0.247 0.583
Sr 0.181 0.981 0.250
Sr 0.232 0.892 0.605
Sr 0.268 0.392 0.105
Sr 0.002 0.253 0.583
Sr 0.498 0.753 0.417
Sr 0.768 0.108 0.105
Sr 0.998 0.747 0.417

No. 3
A relaxed Pr7Nd5Sm crystal. Source: the Alexandria database, functional GGA-PBE.

Its formation energy from the elements is 0.21 eV per atom. As for the size of the total moment: 0.00 μB per formula unit. Its space group is Imm2 (44).

Unit cell a=6.902 b=8.987 c=8.987 alpha=78.84 beta=67.42 gamma=67.42
Sites, in units of the cell vectors:
Pr 0.242 0.258 0.258
Pr 0.483 0.186 0.848
Pr 0.423 0.577 0.577
Pr 0.980 0.700 0.340
Pr 0.980 0.340 0.700
Pr 0.483 0.848 0.186
Pr 0.728 0.272 0.272
Nd 0.758 0.742 0.742
Nd 0.450 0.551 0.005
Nd 0.994 0.551 0.005
Nd 0.450 0.005 0.551
Nd 0.994 0.005 0.551
Sm 0.035 0.965 0.965

No. 4
A relaxed TmScPa2N4 crystal. Source: the Alexandria database, functional GGA-PBE.

The raw total energy is -76.609 eV/cell. As for the size of the total moment: 0.00 μB per formula unit. Its space group is P2/m (10).

Unit cell a=3.391 b=5.874 c=5.953 alpha=109.23 beta=90.00 gamma=90.00
Sites, in units of the cell vectors:
N 0.500 0.759 0.760
N 0.000 0.246 0.757
N 0.500 0.241 0.240
N 0.000 0.754 0.243
Pa 0.500 0.000 0.500
Pa 0.000 0.500 0.500
Sc 0.000 0.000 0.000
Tm 0.500 0.500 0.000

No. 5
A relaxed PmH2S crystal. Source: the Alexandria database, functional GGA-PBE.

The raw total energy is -18.167 eV/cell. As for the size of the total moment: 0.00 μB per formula unit. Its space group is R-3m (166).

Unit cell a=3.931 b=3.931 c=4.532 alpha=64.30 beta=64.30 gamma=60.00
Sites, in units of the cell vectors:
Pm 0.000 0.000 0.000
H 0.302 0.302 0.093
H 0.698 0.698 0.907
S 0.500 0.500 0.500

Copy entry 4 word for word.
A relaxed TmScPa2N4 crystal. Source: the Alexandria database, functional GGA-PBE.

The raw total energy is -76.609 eV/cell. As for the size of the total moment: 0.00 μB per formula unit. Its space group is P2/m (10).

Unit cell a=3.391 b=5.874 c=5.953 alpha=109.23 beta=90.00 gamma=90.00
Sites, in units of the cell vectors:
N 0.500 0.759 0.760
N 0.000 0.246 0.757
N 0.500 0.241 0.240
N 0.000 0.754 0.243
Pa 0.500 0.000 0.500
Pa 0.000 0.500 0.500
Sc 0.000 0.000 0.000
Tm 0.500 0.500 0.000